Entry 1:
# MnCuH2 (meta-GGA SCAN, single point on PBEsol structure)
# N(E_F) ... 2.088 states/eV per cell
# E_tot ... -10.04 eV per atom
# Symmetry ... I-42d (122)
data_MnCuH2
_symmetry_space_group_name_H-M 'P 1'
_symmetry_Int_Tables_number 1
_symmetry_space_group_name_Hall 'P 1'
_cell_length_a 3.840
_cell_length_b 3.840
_cell_length_c 4.955
_cell_angle_alpha 112.80
_cell_angle_beta 112.80
_cell_angle_gamma 90.00
loop_
_atom_site_label
_atom_site_fract_x
_atom_site_fract_y
_atom_site_fract_z
H1 0.384 0.875 0.250
H2 0.866 0.375 0.250
H3 0.125 0.134 0.750
H4 0.625 0.616 0.750
Mn1 0.750 0.250 0.500
Mn2 0.500 0.500 0.000
Cu1 0.250 0.750 0.500
Cu2 0.000 0.000 0.000

Entry 2:
# MnCuNi2H (meta-GGA SCAN, single point on PBEsol structure)
# N(E_F) ... 0.947 states/eV per cell
# E_tot ... -13.98 eV per atom
# Symmetry ... P4/mmm (123)
data_MnCuNi2H
_symmetry_space_group_name_H-M 'P 1'
_symmetry_Int_Tables_number 1
_symmetry_space_group_name_Hall 'P 1'
_cell_length_a 3.603
_cell_length_b 3.623
_cell_length_c 3.623
_cell_angle_alpha 90.00
_cell_angle_beta 90.00
_cell_angle_gamma 90.00
loop_
_atom_site_label
_atom_site_fract_x
_atom_site_fract_y
_atom_site_fract_z
Ni1 0.000 0.000 0.500
Ni2 0.000 0.500 0.000
Mn1 0.500 0.500 0.500
Cu1 0.500 0.000 0.000
H1 0.000 0.000 0.000

Entry 3:
# Mn2Cu5P4H2O18 (meta-GGA SCAN, single point on PBEsol structure)
# N(E_F) ... 4.676 states/eV per cell
# E_tot ... -10.61 eV per atom
# Symmetry ... P-1 (2)
data_Mn2Cu5P4H2O18
_symmetry_space_group_name_H-M 'P 1'
_symmetry_Int_Tables_number 1
_symmetry_space_group_name_Hall 'P 1'
_cell_length_a 5.393
_cell_length_b 7.445
_cell_length_c 8.852
_cell_angle_alpha 109.19
_cell_angle_beta 95.86
_cell_angle_gamma 101.86
loop_
_atom_site_label
_atom_site_fract_x
_atom_site_fract_y
_atom_site_fract_z
Mn1 0.452 0.712 0.020
Mn2 0.548 0.288 0.980
Cu1 0.000 0.000 0.000
Cu2 0.268 0.105 0.501
Cu3 0.732 0.895 0.499
Cu4 0.237 0.470 0.388
Cu5 0.763 0.530 0.612
P1 0.999 0.292 0.806
P2 0.001 0.708 0.194
P3 0.333 0.851 0.734
P4 0.667 0.149 0.266
H1 0.356 0.454 0.663
H2 0.644 0.546 0.337
O1 0.402 0.381 0.558
O2 0.598 0.619 0.442
O3 0.167 0.572 0.217
O4 0.833 0.428 0.783
O5 0.480 0.959 0.635
O6 0.520 0.041 0.365
O7 0.124 0.802 0.075
O8 0.876 0.198 0.925
O9 0.285 0.412 0.889
O10 0.715 0.588 0.111
O11 0.502 0.261 0.196
O12 0.498 0.739 0.804
O13 0.990 0.867 0.355
O14 0.010 0.133 0.645
O15 0.286 0.023 0.882
O16 0.714 0.977 0.118
O17 0.079 0.712 0.630
O18 0.921 0.288 0.370

Entry 4:
# MnCu2TeH (meta-GGA SCAN, single point on PBEsol structure)
# N(E_F) ... 1.932 states/eV per cell
# E_tot ... -17.37 eV per atom
# Symmetry ... P4/mmm (123)
data_MnCu2TeH
_symmetry_space_group_name_H-M 'P 1'
_symmetry_Int_Tables_number 1
_symmetry_space_group_name_Hall 'P 1'
_cell_length_a 3.280
_cell_length_b 4.765
_cell_length_c 4.765
_cell_angle_alpha 90.00
_cell_angle_beta 90.00
_cell_angle_gamma 90.00
loop_
_atom_site_label
_atom_site_fract_x
_atom_site_fract_y
_atom_site_fract_z
Mn1 0.000 0.000 0.000
Te1 0.500 0.500 0.500
Cu1 0.000 0.000 0.500
Cu2 0.000 0.500 0.000
H1 0.500 0.000 0.000

Entry 5:
# Cu3MoH4O8 (meta-GGA SCAN, single point on PBEsol structure)
# E_tot ... -10.23 eV per atom
# Symmetry ... Pnnm (58)
data_Cu3MoH4O8
_symmetry_space_group_name_H-M 'P 1'
_symmetry_Int_Tables_number 1
_symmetry_space_group_name_Hall 'P 1'
_cell_length_a 6.070
_cell_length_b 8.250
_cell_length_c 12.561
_cell_angle_alpha 90.00
_cell_angle_beta 90.00
_cell_angle_gamma 90.00
loop_
_atom_site_label
_atom_site_fract_x
_atom_site_fract_y
_atom_site_fract_z
Cu1 0.248 0.737 0.138
Cu2 0.248 0.263 0.862
Cu3 0.252 0.763 0.638
Cu4 0.252 0.237 0.362
Cu5 0.752 0.263 0.862
Cu6 0.752 0.737 0.138
Cu7 0.748 0.237 0.362
Cu8 0.748 0.763 0.638
Cu9 0.000 0.000 0.000
Cu10 0.500 0.500 0.500
Cu11 0.500 0.000 0.000
Cu12 0.000 0.500 0.500
Mo1 0.500 0.888 0.370
Mo2 0.500 0.112 0.630
Mo3 0.000 0.612 0.870
Mo4 0.000 0.388 0.130
H1 0.500 0.639 0.995
H2 0.500 0.361 0.005
H3 0.000 0.861 0.495
H4 0.000 0.139 0.505
H5 0.000 0.856 0.271
H6 0.000 0.144 0.729
H7 0.500 0.644 0.771
H8 0.500 0.356 0.229
H9 0.225 0.042 0.165
H10 0.225 0.958 0.835
H11 0.275 0.458 0.665
H12 0.275 0.542 0.335
H13 0.775 0.958 0.835
H14 0.775 0.042 0.165
H15 0.725 0.542 0.335
H16 0.725 0.458 0.665
O1 0.500 0.733 0.043
O2 0.500 0.267 0.957
O3 0.000 0.767 0.543
O4 0.000 0.233 0.457
O5 0.000 0.752 0.232
O6 0.000 0.248 0.768
O7 0.500 0.748 0.732
O8 0.500 0.252 0.268
O9 0.244 0.971 0.102
O10 0.244 0.029 0.898
O11 0.256 0.529 0.602
O12 0.256 0.471 0.398
O13 0.756 0.029 0.898
O14 0.756 0.971 0.102
O15 0.744 0.471 0.398
O16 0.744 0.529 0.602
O17 0.500 0.723 0.281
O18 0.500 0.277 0.719
O19 0.000 0.777 0.781
O20 0.000 0.223 0.219
O21 0.253 0.000 0.347
O22 0.253 0.000 0.653
O23 0.247 0.500 0.847
O24 0.247 0.500 0.153
O25 0.747 0.000 0.653
O26 0.747 0.000 0.347
O27 0.753 0.500 0.153
O28 0.753 0.500 0.847
O29 0.500 0.807 0.500
O30 0.500 0.193 0.500
O31 0.000 0.693 0.000
O32 0.000 0.307 0.000

Entry 6:
# Cu3Mo2H2O10 (meta-GGA SCAN, single point on PBEsol structure)
# Symmetry ... P2_1/c (14)
# Offset from the most stable computed form ... 0.000 eV per atom
data_Cu3Mo2H2O10
_symmetry_space_group_name_H-M 'P 1'
_symmetry_Int_Tables_number 1
_symmetry_space_group_name_Hall 'P 1'
_cell_length_a 5.335
_cell_length_b 5.543
_cell_length_c 13.853
_cell_angle_alpha 90.00
_cell_angle_beta 90.00
_cell_angle_gamma 99.12
loop_
_atom_site_label
_atom_site_fract_x
_atom_site_fract_y
_atom_site_fract_z
Cu1 0.500 0.500 0.500
Cu2 0.000 0.000 0.000
Cu3 0.357 0.977 0.594
Cu4 0.857 0.477 0.906
Cu5 0.643 0.023 0.406
Cu6 0.143 0.523 0.094
Mo1 0.957 0.369 0.654
Mo2 0.457 0.869 0.846
Mo3 0.043 0.631 0.346
Mo4 0.543 0.131 0.154
H1 0.797 0.890 0.570
H2 0.297 0.390 0.930
H3 0.203 0.110 0.430
H4 0.703 0.610 0.070
O1 0.485 0.936 0.722
O2 0.985 0.436 0.778
O3 0.515 0.064 0.278
O4 0.015 0.564 0.222
O5 0.166 0.587 0.590
O6 0.666 0.087 0.910
O7 0.834 0.413 0.410
O8 0.334 0.913 0.090
O9 0.039 0.072 0.630
O10 0.539 0.572 0.870
O11 0.961 0.928 0.370
O12 0.461 0.428 0.130
O13 0.644 0.380 0.613
O14 0.144 0.880 0.887
O15 0.356 0.620 0.387
O16 0.856 0.120 0.113
O17 0.638 0.846 0.530
O18 0.138 0.346 0.970
O19 0.362 0.154 0.470
O20 0.862 0.654 0.030

Entry 7:
# Cu3Mo2H2O10 (meta-GGA SCAN, single point on PBEsol structure)
# Symmetry ... P-1 (2)
# Offset from the most stable computed form ... 0.003 eV per atom
data_Cu3Mo2H2O10
_symmetry_space_group_name_H-M 'P 1'
_symmetry_Int_Tables_number 1
_symmetry_space_group_name_Hall 'P 1'
_cell_length_a 5.362
_cell_length_b 5.562
_cell_length_c 7.453
_cell_angle_alpha 102.62
_cell_angle_beta 106.13
_cell_angle_gamma 98.63
loop_
_atom_site_label
_atom_site_fract_x
_atom_site_fract_y
_atom_site_fract_z
Cu1 0.229 0.090 0.186
Cu2 0.771 0.910 0.814
Cu3 0.000 0.500 0.000
Mo1 0.676 0.732 0.304
Mo2 0.324 0.268 0.696
H1 0.768 0.162 0.141
H2 0.232 0.838 0.859
O1 0.891 0.177 0.062
O2 0.416 0.469 0.172
O3 0.961 0.701 0.230
O4 0.574 0.012 0.255
O5 0.239 0.241 0.447
O6 0.761 0.759 0.553
O7 0.426 0.988 0.745
O8 0.039 0.299 0.770
O9 0.584 0.531 0.828
O10 0.109 0.823 0.938

Entry 8:
# CuPH6NO5 (meta-GGA SCAN, single point on PBEsol structure)
# N(E_F) ... 0.000 states/eV per cell
# Symmetry ... P2_1/c (14)
# Offset from the most stable computed form ... 0.000 eV per atom
data_CuPH6NO5
_symmetry_space_group_name_H-M 'P 1'
_symmetry_Int_Tables_number 1
_symmetry_space_group_name_Hall 'P 1'
_cell_length_a 7.427
_cell_length_b 7.420
_cell_length_c 8.607
_cell_angle_alpha 90.00
_cell_angle_beta 95.28
_cell_angle_gamma 90.00
loop_
_atom_site_label
_atom_site_fract_x
_atom_site_fract_y
_atom_site_fract_z
Cu1 0.429 0.310 0.961
Cu2 0.071 0.810 0.039
Cu3 0.571 0.690 0.039
Cu4 0.929 0.190 0.961
P1 0.329 0.950 0.809
P2 0.171 0.450 0.191
P3 0.671 0.050 0.191
P4 0.829 0.550 0.809
H1 0.347 0.568 0.799
H2 0.153 0.068 0.201
H3 0.653 0.432 0.201
H4 0.847 0.932 0.799
H5 0.175 0.434 0.800
H6 0.325 0.934 0.200
H7 0.825 0.566 0.200
H8 0.675 0.066 0.800
H9 0.394 0.819 0.529
H10 0.106 0.319 0.471
H11 0.606 0.181 0.471
H12 0.894 0.681 0.529
H13 0.576 0.674 0.539
H14 0.924 0.174 0.461
H15 0.424 0.326 0.461
H16 0.076 0.826 0.539
H17 0.515 0.786 0.369
H18 0.985 0.286 0.631
H19 0.485 0.214 0.631
H20 0.015 0.714 0.369
H21 0.380 0.620 0.427
H22 0.120 0.120 0.573
H23 0.620 0.380 0.573
H24 0.880 0.880 0.427
N1 0.467 0.726 0.466
N2 0.033 0.226 0.534
N3 0.533 0.274 0.534
N4 0.967 0.774 0.466
O1 0.307 0.439 0.778
O2 0.193 0.939 0.222
O3 0.693 0.561 0.222
O4 0.807 0.061 0.778
O5 0.473 0.106 0.830
O6 0.027 0.606 0.170
O7 0.527 0.894 0.170
O8 0.973 0.394 0.830
O9 0.257 0.943 0.635
O10 0.243 0.443 0.365
O11 0.743 0.057 0.365
O12 0.757 0.557 0.635
O13 0.322 0.495 0.085
O14 0.178 0.995 0.915
O15 0.678 0.505 0.915
O16 0.822 0.005 0.085
O17 0.575 0.231 0.148
O18 0.925 0.731 0.852
O19 0.425 0.769 0.852
O20 0.075 0.269 0.148

Entry 9:
# CuPH6NO5 (meta-GGA SCAN, single point on PBEsol structure)
# N(E_F) ... 0.065 states/eV per cell
# Symmetry ... Pmn2_1 (31)
# Offset from the most stable computed form ... 0.022 eV per atom
data_CuPH6NO5
_symmetry_space_group_name_H-M 'P 1'
_symmetry_Int_Tables_number 1
_symmetry_space_group_name_Hall 'P 1'
_cell_length_a 4.683
_cell_length_b 5.611
_cell_length_c 8.788
_cell_angle_alpha 90.00
_cell_angle_beta 90.00
_cell_angle_gamma 90.00
loop_
_atom_site_label
_atom_site_fract_x
_atom_site_fract_y
_atom_site_fract_z
Cu1 0.488 0.000 0.026
Cu2 0.988 0.500 0.974
P1 0.922 0.000 0.809
P2 0.422 0.500 0.191
H1 0.560 0.000 0.545
H2 0.060 0.500 0.455
H3 0.380 0.153 0.407
H4 0.880 0.347 0.593
H5 0.380 0.847 0.407
H6 0.880 0.653 0.593
H7 0.188 0.000 0.541
H8 0.688 0.500 0.459
H9 0.920 0.141 0.174
H10 0.420 0.359 0.826
H11 0.920 0.859 0.174
H12 0.420 0.641 0.826
N1 0.377 0.000 0.474
N2 0.877 0.500 0.526
O1 0.769 0.779 0.882
O2 0.269 0.721 0.118
O3 0.769 0.221 0.882
O4 0.269 0.279 0.118
O5 0.243 0.000 0.841
O6 0.743 0.500 0.159
O7 0.878 0.000 0.634
O8 0.378 0.500 0.366
O9 0.794 0.000 0.191
O10 0.294 0.500 0.809

Entry 10:
# CuH20Se2N2O14 (meta-GGA SCAN, single point on PBEsol structure)
# N(E_F) ... 0.000 states/eV per cell
# E_tot ... -6.78 eV per atom
# Symmetry ... P2_1/c (14)
data_CuH20Se2N2O14
_symmetry_space_group_name_H-M 'P 1'
_symmetry_Int_Tables_number 1
_symmetry_space_group_name_Hall 'P 1'
_cell_length_a 6.627
_cell_length_b 9.215
_cell_length_c 12.005
_cell_angle_alpha 90.00
_cell_angle_beta 90.00
_cell_angle_gamma 104.13
loop_
_atom_site_label
_atom_site_fract_x
_atom_site_fract_y
_atom_site_fract_z
Cu1 0.500 0.000 0.500
Cu2 0.500 0.500 0.000
H1 0.199 0.115 0.448
H2 0.801 0.385 0.948
H3 0.801 0.885 0.552
H4 0.199 0.615 0.052
H5 0.198 0.985 0.359
H6 0.802 0.515 0.859
H7 0.802 0.015 0.641
H8 0.198 0.485 0.141
H9 0.485 0.859 0.314
H10 0.515 0.641 0.814
H11 0.515 0.141 0.686
H12 0.485 0.359 0.186
H13 0.428 0.736 0.413
H14 0.572 0.764 0.913
H15 0.572 0.264 0.587
H16 0.428 0.236 0.087
H17 0.837 0.233 0.417
H18 0.163 0.267 0.917
H19 0.163 0.767 0.583
H20 0.837 0.733 0.083
H21 0.623 0.271 0.375
H22 0.377 0.229 0.875
H23 0.377 0.729 0.625
H24 0.623 0.771 0.125
H25 0.861 0.679 0.397
H26 0.139 0.821 0.897
H27 0.139 0.321 0.603
H28 0.861 0.179 0.103
H29 0.790 0.669 0.255
H30 0.210 0.831 0.755
H31 0.210 0.331 0.745
H32 0.790 0.169 0.245
H33 0.687 0.529 0.343
H34 0.313 0.971 0.843
H35 0.313 0.471 0.657
H36 0.687 0.029 0.157
H37 0.939 0.558 0.307
H38 0.061 0.942 0.807
H39 0.061 0.442 0.693
H40 0.939 0.058 0.193
Se1 0.245 0.418 0.373
Se2 0.755 0.082 0.873
Se3 0.755 0.582 0.627
Se4 0.245 0.918 0.127
N1 0.822 0.612 0.326
N2 0.178 0.888 0.826
N3 0.178 0.388 0.674
N4 0.822 0.112 0.174
O1 0.461 0.379 0.322
O2 0.539 0.121 0.822
O3 0.539 0.621 0.678
O4 0.461 0.879 0.178
O5 0.114 0.273 0.450
O6 0.886 0.227 0.950
O7 0.886 0.727 0.550
O8 0.114 0.773 0.050
O9 0.097 0.440 0.265
O10 0.903 0.060 0.765
O11 0.903 0.560 0.735
O12 0.097 0.940 0.235
O13 0.301 0.570 0.451
O14 0.699 0.930 0.951
O15 0.699 0.430 0.549
O16 0.301 0.070 0.049
O17 0.235 0.016 0.438
O18 0.765 0.484 0.938
O19 0.765 0.984 0.562
O20 0.235 0.516 0.062
O21 0.517 0.839 0.394
O22 0.483 0.661 0.894
O23 0.483 0.161 0.606
O24 0.517 0.339 0.106
O25 0.702 0.193 0.378
O26 0.298 0.307 0.878
O27 0.298 0.807 0.622
O28 0.702 0.693 0.122

Entry 11:
# NaCu2H (meta-GGA SCAN, single point on PBEsol structure)
# N(E_F) ... 1.104 states/eV per cell
# E_tot ... -8.52 eV per atom
# Symmetry ... Fm-3m (225)
data_NaCu2H
_symmetry_space_group_name_H-M 'P 1'
_symmetry_Int_Tables_number 1
_symmetry_space_group_name_Hall 'P 1'
_cell_length_a 4.162
_cell_length_b 4.162
_cell_length_c 4.162
_cell_angle_alpha 60.00
_cell_angle_beta 60.00
_cell_angle_gamma 60.00
loop_
_atom_site_label
_atom_site_fract_x
_atom_site_fract_y
_atom_site_fract_z
Na1 0.500 0.500 0.500
Cu1 0.250 0.250 0.250
Cu2 0.750 0.750 0.750
H1 0.000 0.000 0.000

| no. | magnetization (μB per cell) |
| --- | --- |
| 1 | 6.5 |
| 2 | 5.0 |
| 3 | 12.7 |
| 4 | 4.1 |
| 5 | 11.8 |
| 6 | 6.1 |
| 7 | 3.0 |
| 8 | 3.9 |
| 9 | 2.0 |
| 10 | 2.0 |
| 11 | 0.0 |